1.
VASP calculation (PBE) on a relaxed structure of ScBe3Tc.

Calculated values
calculated volume = 73.51 Å³ per cell
formation energy from the elements = 0.26 eV/atom
ρ = 3.84 g/cm³

Cell: 4.189 4.189 4.189 Å, 90.00 90.00 90.00°
Positions (direct):
Tc: 0.000 0.000 0.000
Sc: 0.500 0.500 0.500
Be: 0.500 0.000 0.000
Be: 0.000 0.500 0.000
Be: 0.000 0.000 0.500

2.
VASP calculation (PBE) on a relaxed structure of Be2PSe.

Calculated values
calculated volume = 130.14 Å³ per cell
ρ = 3.27 g/cm³
energy relative to the lowest polymorph listed for this composition = 34 meV per atom

Cell: 5.116 5.116 6.149 Å, 65.42 65.42 90.00°
Positions (direct):
P: 0.500 0.500 0.000
Be: 0.375 0.388 0.750
Se: 0.000 0.000 0.000
Be: 0.875 0.862 0.750
P: 0.250 0.750 0.500
Be: 0.138 0.625 0.250
Se: 0.750 0.250 0.500
Be: 0.612 0.125 0.250

3.
VASP calculation (PBE) on a relaxed structure of Ni2HgMo.

Calculated values
calculated volume = 58.25 Å³ per cell
formation energy from the elements = 0.35 eV/atom
ρ = 11.80 g/cm³

Cell: 5.391 5.391 5.391 Å, 150.41 130.66 58.59°
Positions (direct):
Mo: 0.225 0.725 0.500
Ni: 0.773 0.273 0.500
Hg: 0.509 0.509 0.000
Ni: 0.993 0.993 0.000